No. 1
Density functional theory data (GGA-PBE) for a relaxed Dy5YSc crystal.

The structure in CIF format:
```
data_Dy5YSc
_cell_length_a 9.2004
_cell_length_b 7.5065
_cell_length_c 12.8373
_cell_angle_alpha 90.00
_cell_angle_beta 90.10
_cell_angle_gamma 90.00
_space_group_name_H-M_alt 'C 1 2/c 1'
_space_group_IT_number 15
_space_group_name_Hall '-C 2yc'
loop_
_atom_site_label
_atom_site_type_symbol
_atom_site_fract_x
_atom_site_fract_y
_atom_site_fract_z
Dy1 Dy 0.0000 0.0991 0.2500
Dy2 Dy 0.2012 0.3769 0.1131
Dy3 Dy 0.2018 0.3769 0.3864
Y1 Y 0.0000 0.3066 0.7500
Sc1 Sc 0.0000 0.0000 0.0000
```

Summary:
excess energy over the best structure of this formula in the dataset	0	meV/atom
calculated density	7.09	g/cm3
calculated volume	221.6	Å³/f.u.
total energy	-4.950	eV/atom
total moment	0.00	Bohr magnetons per cell

---

No. 2
Density functional theory data (GGA-PBE) for a relaxed AcPm2Mg2In2 crystal.

The structure in CIF format:
```
data_AcPm2Mg2In2
_cell_length_a 5.0459
_cell_length_b 5.0459
_cell_length_c 29.0355
_cell_angle_alpha 90.00
_cell_angle_beta 90.00
_cell_angle_gamma 120.00
_space_group_name_H-M_alt 'R -3 m'
_space_group_IT_number 166
_space_group_name_Hall '-R 3 2"'
loop_
_atom_site_label
_atom_site_type_symbol
_atom_site_fract_x
_atom_site_fract_y
_atom_site_fract_z
Ac1 Ac 0.0000 0.0000 0.0000
Pm1 Pm 0.0000 0.0000 0.1310
Mg1 Mg 0.0000 0.0000 0.2577
In1 In 0.0000 0.0000 0.4095
```

Summary:
calculated density	6.19	g/cm3
calculated volume	213.4	Å³/f.u.
total energy	-3.385	eV/atom
total moment	0.00	Bohr magnetons per cell

---

No. 3
Density functional theory data (GGA-PBE) for a relaxed NiRhAu2 crystal.

The structure in CIF format:
```
data_NiRhAu2
_cell_length_a 7.1347
_cell_length_b 7.1347
_cell_length_c 5.3177
_cell_angle_alpha 90.00
_cell_angle_beta 90.00
_cell_angle_gamma 90.00
_space_group_name_H-M_alt 'I -4 2 d'
_space_group_IT_number 122
_space_group_name_Hall 'I -4 2bw'
loop_
_atom_site_label
_atom_site_type_symbol
_atom_site_fract_x
_atom_site_fract_y
_atom_site_fract_z
Ni1 Ni 0.0000 0.0000 0.0000
Rh1 Rh 0.0000 0.0000 0.5000
Au1 Au 0.2311 0.2500 0.1250
```

Summary:
excess energy over the best structure of this formula in the dataset	423	meV/atom
calculated density	13.63	g/cm3
calculated volume	67.7	Å³/f.u.
total energy	-4.414	eV/atom
total moment	5.10	Bohr magnetons per cell

---

No. 4
Density functional theory data (GGA-PBE) for a relaxed KY2Er3Te6 crystal.

The structure in CIF format:
```
data_KY2Er3Te6
_cell_length_a 19.3020
_cell_length_b 4.3532
_cell_length_c 8.9705
_cell_angle_alpha 90.00
_cell_angle_beta 104.19
_cell_angle_gamma 90.00
_space_group_name_H-M_alt 'C 1 2/m 1'
_space_group_IT_number 12
_space_group_name_Hall '-C 2y'
loop_
_atom_site_label
_atom_site_type_symbol
_atom_site_fract_x
_atom_site_fract_y
_atom_site_fract_z
K1 K 0.0000 0.0000 0.0000
Y1 Y 0.1711 0.5000 0.3479
Er1 Er 0.0000 0.0000 0.5000
Er2 Er 0.1615 0.5000 0.8221
Te1 Te 0.0029 0.5000 0.2677
Te2 Te 0.1642 0.0000 0.5872
Te3 Te 0.1750 0.0000 0.0849
```

Summary:
formation energy without anion corrections	-1.27	eV per atom
calculated density	6.75	g/cm3
calculated volume	365.4	Å³/f.u.
total energy	-5.154	eV/atom
total moment	0.00	Bohr magnetons per cell

---

No. 5
Density functional theory data (GGA-PBE) for a relaxed PrSmHo2Sc crystal.

The structure in CIF format:
```
data_PrSmHo2Sc
_cell_length_a 6.2418
_cell_length_b 5.6255
_cell_length_c 9.4891
_cell_angle_alpha 90.00
_cell_angle_beta 109.01
_cell_angle_gamma 90.00
_space_group_name_H-M_alt 'P 1 21/m 1'
_space_group_IT_number 11
_space_group_name_Hall '-P 2yb'
loop_
_atom_site_label
_atom_site_type_symbol
_atom_site_fract_x
_atom_site_fract_y
_atom_site_fract_z
Pr1 Pr 0.2329 0.2500 0.3067
Sm1 Sm 0.3663 0.7500 0.8985
Ho1 Ho 0.0343 0.2500 0.8968
Ho2 Ho 0.4281 0.2500 0.6913
Sc1 Sc 0.1547 0.7500 0.5007
```

Summary:
calculated density	7.02	g/cm3
calculated volume	157.5	Å³/f.u.
total energy	-4.961	eV/atom
total moment	0.00	Bohr magnetons per cell

---

No. 6
Density functional theory data (GGA-PBE) for a relaxed Pr5SmTl6 crystal.

The structure in CIF format:
```
data_Pr5SmTl6
_cell_length_a 5.5644
_cell_length_b 16.7026
_cell_length_c 7.7915
_cell_angle_alpha 90.00
_cell_angle_beta 90.00
_cell_angle_gamma 90.00
_space_group_name_H-M_alt 'C m m m'
_space_group_IT_number 65
_space_group_name_Hall '-C 2 2'
loop_
_atom_site_label
_atom_site_type_symbol
_atom_site_fract_x
_atom_site_fract_y
_atom_site_fract_z
Pr1 Pr 0.0000 0.0000 0.0000
Pr2 Pr 0.0000 0.3318 0.0000
Pr3 Pr 0.0000 0.3335 0.5000
Sm1 Sm 0.0000 0.0000 0.5000
Tl1 Tl 0.0000 0.1649 0.2527
Tl2 Tl 0.0000 0.5000 0.2523
```

Summary:
calculated density	9.54	g/cm3
calculated volume	362.1	Å³/f.u.
total energy	-3.959	eV/atom
total moment	0.00	Bohr magnetons per cell